ScCdPt2 after structural relaxation, computed with PBE-GGA.

The structure belongs to space group R3m (No. 160, hexagonal axes); the cell edges are 3.0295, 3.0295 and 27.6168 Å and the angles 90.00°, 90.00° and 120.00°. The inequivalent atoms are Sc at (0.0000, 0.0000, 0.0000), Cd at (0.0000, 0.0000, 0.2394), Pt at (0.0000, 0.0000, 0.4916) and Pt at (0.0000, 0.0000, 0.7407).

As for the energy of formation: -285 meV/atom. The calculation puts the volume at 219.5 Å³/cell. As for the crystal system: trigonal.

Sc2Cd2Pt after structural relaxation, computed with PBE-GGA.

The structure belongs to space group P4/mbm (No. 127); the cell edges are 7.2767, 7.2767 and 3.9437 Å and the angles 90.00°, 90.00° and 90.00°. The inequivalent atoms are Sc at (0.1713, 0.3287, 0.0000), Cd at (0.1344, 0.6344, 0.5000) and Pt at (0.0000, 0.0000, 0.5000).

As for the energy of formation: -298 meV/atom. The calculation puts the volume at 208.8 Å³/cell. The energy above the most stable polymorph in this dataset is 333 meV per atom. As for the crystal system: tetragonal.

Sc2CdPt after structural relaxation, computed with PBE-GGA.

The structure belongs to space group I-4m2 (No. 119); the cell edges are 4.1484, 4.1484 and 9.0199 Å and the angles 90.00°, 90.00° and 90.00°. The inequivalent atoms are Sc at (0.0000, 0.0000, 0.0000), Sc at (0.0000, 0.5000, 0.2500), Cd at (0.0000, 0.5000, 0.7500) and Pt at (0.0000, 0.0000, 0.5000).

As for the energy of formation: -588 meV/atom. The calculation puts the volume at 155.2 Å³/cell. As for the crystal system: tetragonal.